# 1
VASP calculation (SCAN) on a crystal of Zr4CuP relaxed with PBEsol.

Calculated values
**DOS(E_F)**: 5.26 states/eV/f.u.
**Formation enthalpy at 0 K**: -0.643 eV per atom
**Calculated volume**: 218.98 Å³ per cell
**SG**: P4/mcc

Cell lengths 6.4377, 6.4377, 5.2838 Å; angles 90.00, 90.00, 90.00 degrees
Element x y z (fractional)
1 Zr 0.1529 0.3392 0.0000
2 Zr 0.1529 0.6608 0.5000
3 Zr 0.3392 0.1529 0.5000
4 Zr 0.3392 0.8471 0.0000
5 Zr 0.6608 0.1529 0.0000
6 Zr 0.6608 0.8471 0.5000
7 Zr 0.8471 0.3392 0.5000
8 Zr 0.8471 0.6608 0.0000
9 Cu 0.5000 0.5000 0.2500
10 Cu 0.5000 0.5000 0.7500
11 P 0.0000 0.0000 0.2500
12 P 0.0000 0.0000 0.7500


# 2
VASP calculation (SCAN) on a crystal of ZrCuP2 relaxed with PBEsol.

Calculated values
**DOS(E_F)**: 1.84 states/eV/f.u.
**Formation enthalpy at 0 K**: -0.555 eV per atom
**Calculated volume**: 62.86 Å³ per cell
**SG**: P4mm

Cell lengths 3.4896, 3.4896, 5.1621 Å; angles 90.00, 90.00, 90.00 degrees
Element x y z (fractional)
1 Zr 0.0000 0.0000 0.0000
2 Cu 0.5000 0.5000 0.3609
3 P 0.0000 0.0000 0.4793
4 P 0.5000 0.5000 0.8435


# 3
VASP calculation (SCAN) on a crystal of ZrCuP2 relaxed with PBEsol.

Calculated values
**DOS(E_F)**: 2.66 states/eV/f.u.
**Formation enthalpy at 0 K**: -0.452 eV per atom
**Calculated volume**: 65.20 Å³ per cell
**SG**: R-3m

Cell lengths 5.8922, 5.8922, 5.8922 Å; angles 36.63, 36.63, 36.63 degrees
Element x y z (fractional)
1 Zr 0.0000 0.0000 0.0000
2 Cu 0.5000 0.5000 0.5000
3 P 0.2421 0.2421 0.2421
4 P 0.7579 0.7579 0.7579


# 4
VASP calculation (SCAN) on a crystal of Zr2CuP relaxed with PBEsol.

Calculated values
**DOS(E_F)**: 4.12 states/eV/f.u.
**Formation enthalpy at 0 K**: 0.254 eV per atom
**Calculated volume**: 66.06 Å³ per cell
**SG**: F-43m

Cell lengths 4.5376, 4.5376, 4.5376 Å; angles 60.00, 60.00, 60.00 degrees
Element x y z (fractional)
1 Zr 0.0000 0.0000 0.0000
2 Zr 0.2500 0.2500 0.2500
3 Cu 0.5000 0.5000 0.5000
4 P 0.7500 0.7500 0.7500


# 5
VASP calculation (SCAN) on a crystal of Zr2CuP relaxed with PBEsol.

Calculated values
**DOS(E_F)**: 2.16 states/eV/f.u.
**Formation enthalpy at 0 K**: -0.963 eV per atom
**Calculated volume**: 66.58 Å³ per cell
**SG**: Amm2

Cell lengths 3.6443, 5.2878, 5.2878 Å; angles 40.80, 90.00, 90.00 degrees
Element x y z (fractional)
1 Zr 0.0000 0.0000 0.0000
2 Zr 0.5000 0.2973 0.2973
3 Cu 0.5000 0.5774 0.5774
4 P 0.0000 0.7230 0.7230


# 6
VASP calculation (SCAN) on a crystal of Zr2CuP relaxed with PBEsol.

Calculated values
**DOS(E_F)**: 2.26 states/eV/f.u.
**Formation enthalpy at 0 K**: -0.607 eV per atom
**Calculated volume**: 65.82 Å³ per cell
**SG**: Cmmm

Cell lengths 4.5253, 4.5253, 3.2682 Å; angles 90.00, 90.00, 100.45 degrees
Element x y z (fractional)
1 Zr 0.0000 0.5000 0.0000
2 Zr 0.5000 0.0000 0.0000
3 Cu 0.0000 0.0000 0.5000
4 P 0.5000 0.5000 0.5000


# 7
VASP calculation (SCAN) on a crystal of ZrCu2P2 relaxed with PBEsol.

Calculated values
**DOS(E_F)**: 0.54 states/eV/f.u.
**Formation enthalpy at 0 K**: -0.755 eV per atom
**Calculated volume**: 75.00 Å³ per cell
**SG**: P-3m1

Cell lengths 3.7727, 3.7727, 6.0845 Å; angles 90.00, 90.00, 120.00 degrees
Element x y z (fractional)
1 Zr 0.0000 0.0000 0.0000
2 Cu 0.3333 0.6667 0.6423
3 Cu 0.6667 0.3333 0.3577
4 P 0.3333 0.6667 0.2529
5 P 0.6667 0.3333 0.7471


# 8
VASP calculation (SCAN) on a crystal of ZrCuP2 relaxed with PBEsol.

Calculated values
**DOS(E_F)**: 1.77 states/eV/f.u.
**Formation enthalpy at 0 K**: -0.397 eV per atom
**Calculated volume**: 58.35 Å³ per cell
**SG**: P4/mmm

Cell lengths 3.3166, 3.3166, 5.3043 Å; angles 90.00, 90.00, 90.00 degrees
Element x y z (fractional)
1 Zr 0.0000 0.0000 0.0000
2 Cu 0.0000 0.0000 0.5000
3 P 0.5000 0.5000 0.2793
4 P 0.5000 0.5000 0.7207